Material: Tm2Cu4Ni5
Method: DFT, PBE
State: optimized geometry

Output
Electronic total energy ... -0.3773 Ry/atom
Calculated formation energy ... -2.24 eV per formula unit
SG ... Fmmm (69)

a = 5.0043 Å, b = 4.8695 Å, c = 8.1076 Å
α = 80.88°, β = 72.02°, γ = 59.08°
Fractional positions:
Cu1 0.5309 0.6808 0.2574
Cu2 0.4691 0.3192 0.7426
Cu3 0.7883 0.6808 0.7426
Cu4 0.2117 0.3192 0.2574
Ni1 0.2500 0.5000 0.5000
Ni2 0.7500 0.5000 0.5000
Ni3 0.5000 0.5000 0.0000
Ni4 0.0000 0.5000 0.0000
Ni5 0.5000 0.0000 0.0000
Tm1 0.1300 0.0000 0.7400
Tm2 0.8700 0.0000 0.2600